# GGA-PBE KPPb2, optimized geometry
data_KPPb2
_chemical_formula_sum 'K2 P2 Pb4'
_cell_length_a 4.7296
_cell_length_b 4.7296
_cell_length_c 10.1871
_cell_angle_alpha 90.00
_cell_angle_beta 90.00
_cell_angle_gamma 90.00
_space_group_name_H-M_alt 'I 4/m m m'
_space_group_IT_number 139
_space_group_name_Hall '-I 4 2'
loop_
_atom_site_label
_atom_site_type_symbol
_atom_site_fract_x
_atom_site_fract_y
_atom_site_fract_z
_atom_site_occupancy
K1 K 0.0000 0.0000 0.0000 1
P1 P 0.0000 0.0000 0.5000 1
Pb1 Pb 0.0000 0.5000 0.2500 1
# Energy   -3.294 eV/atom
# Formation energy   187 meV per atom
# DOS(E_F)   5.265 states/eV/cell

# GGA-PBE KPPb2, optimized geometry
data_KPPb2
_chemical_formula_sum 'K1 P1 Pb2'
_cell_length_a 4.2070
_cell_length_b 4.2070
_cell_length_c 7.4204
_cell_angle_alpha 90.00
_cell_angle_beta 90.00
_cell_angle_gamma 90.00
_space_group_name_H-M_alt 'P 4 m m'
_space_group_IT_number 99
_space_group_name_Hall 'P 4 -2'
loop_
_atom_site_label
_atom_site_type_symbol
_atom_site_fract_x
_atom_site_fract_y
_atom_site_fract_z
_atom_site_occupancy
K1 K 0.0000 0.0000 0.0000 1
P1 P 0.5000 0.5000 0.3285 1
Pb1 Pb 0.0000 0.0000 0.4463 1
Pb2 Pb 0.5000 0.5000 0.6802 1
# Energy   -3.524 eV/atom
# Formation energy   -43 meV per atom
# DOS(E_F)   1.552 states/eV/cell

# GGA-PBE K4P4Pb, optimized geometry
data_K4P4Pb
_chemical_formula_sum 'K8 P8 Pb2'
_cell_length_a 7.8854
_cell_length_b 8.6402
_cell_length_c 10.3639
_cell_angle_alpha 104.16
_cell_angle_beta 108.61
_cell_angle_gamma 104.07
_space_group_name_H-M_alt 'P -1'
_space_group_IT_number 2
_space_group_name_Hall '-P 1'
loop_
_atom_site_label
_atom_site_type_symbol
_atom_site_fract_x
_atom_site_fract_y
_atom_site_fract_z
_atom_site_occupancy
K1 K 0.1078 0.0570 0.3754 1
K2 K 0.2104 0.6583 0.6650 1
K3 K 0.2378 0.5184 0.9914 1
K4 K 0.2774 0.0474 0.0510 1
P1 P 0.0643 0.2957 0.1597 1
P2 P 0.3567 0.3407 0.7186 1
P3 P 0.3802 0.0989 0.7295 1
P4 P 0.4690 0.9494 0.5790 1
Pb1 Pb 0.3573 0.5390 0.3740 1
# Energy   -3.558 eV/atom
# Formation energy   -254 meV per atom
# DOS(E_F)   3.071 states/eV/cell

# GGA-PBE K3PPb, optimized geometry
data_K3PPb
_chemical_formula_sum 'K3 P1 Pb1'
_cell_length_a 6.2228
_cell_length_b 6.2228
_cell_length_c 6.2228
_cell_angle_alpha 90.00
_cell_angle_beta 90.00
_cell_angle_gamma 90.00
_space_group_name_H-M_alt 'P m -3 m'
_space_group_IT_number 221
_space_group_name_Hall '-P 4 2 3'
loop_
_atom_site_label
_atom_site_type_symbol
_atom_site_fract_x
_atom_site_fract_y
_atom_site_fract_z
_atom_site_occupancy
K1 K 0.0000 0.0000 0.5000 1
P1 P 0.0000 0.0000 0.0000 1
Pb1 Pb 0.5000 0.5000 0.5000 1
# Energy   -2.301 eV/atom
# Formation energy   181 meV per atom
# DOS(E_F)   9.492 states/eV/cell
# Distance to the lowest polymorph of the same formula   0 meV per atom

# GGA-PBE KP2Pb2, optimized geometry
data_KP2Pb2
_chemical_formula_sum 'K2 P4 Pb4'
_cell_length_a 8.1697
_cell_length_b 8.1697
_cell_length_c 4.5388
_cell_angle_alpha 90.00
_cell_angle_beta 90.00
_cell_angle_gamma 90.00
_space_group_name_H-M_alt 'P 4/m b m'
_space_group_IT_number 127
_space_group_name_Hall '-P 4 2ab'
loop_
_atom_site_label
_atom_site_type_symbol
_atom_site_fract_x
_atom_site_fract_y
_atom_site_fract_z
_atom_site_occupancy
K1 K 0.0000 0.0000 0.0000 1
P1 P 0.0971 0.4029 0.0000 1
Pb1 Pb 0.1366 0.6366 0.5000 1
# Energy   -3.864 eV/atom
# Formation energy   3 meV per atom
# DOS(E_F)   2.490 states/eV/cell

# GGA-PBE KPPb2, optimized geometry
data_KPPb2
_chemical_formula_sum 'K1 P1 Pb2'
_cell_length_a 5.6208
_cell_length_b 4.6399
_cell_length_c 5.6626
_cell_angle_alpha 90.00
_cell_angle_beta 111.72
_cell_angle_gamma 90.00
_space_group_name_H-M_alt 'P 1 2/m 1'
_space_group_IT_number 10
_space_group_name_Hall '-P 2y'
loop_
_atom_site_label
_atom_site_type_symbol
_atom_site_fract_x
_atom_site_fract_y
_atom_site_fract_z
_atom_site_occupancy
K1 K 0.0000 0.0000 0.0000 1
P1 P 0.5000 0.0000 0.5000 1
Pb1 Pb 0.3259 0.5000 0.6745 1
# Energy   -3.511 eV/atom
# Formation energy   -30 meV per atom
# DOS(E_F)   1.588 states/eV/cell

# GGA-PBE KP5Pb8, optimized geometry
data_KP5Pb8
_chemical_formula_sum 'K3 P15 Pb24'
_cell_length_a 6.7860
_cell_length_b 6.7860
_cell_length_c 31.5170
_cell_angle_alpha 90.00
_cell_angle_beta 90.00
_cell_angle_gamma 120.00
_space_group_name_H-M_alt 'R -3 m'
_space_group_IT_number 166
_space_group_name_Hall '-R 3 2"'
loop_
_atom_site_label
_atom_site_type_symbol
_atom_site_fract_x
_atom_site_fract_y
_atom_site_fract_z
_atom_site_occupancy
K1 K 0.0000 0.0000 0.0000 1
P1 P 0.0000 0.0000 0.2984 1
P2 P 0.0000 0.0000 0.3622 1
P3 P 0.0000 0.0000 0.5000 1
Pb1 Pb 0.0000 0.0000 0.2002 1
Pb2 Pb 0.0078 0.5039 0.7681 1
# Energy   -3.912 eV/atom
# Formation energy   218 meV per atom
# DOS(E_F)   21.331 states/eV/cell

# GGA-PBE KP2Pb, optimized geometry
data_KP2Pb
_chemical_formula_sum 'K2 P4 Pb2'
_cell_length_a 12.8966
_cell_length_b 3.8520
_cell_length_c 4.9811
_cell_angle_alpha 90.00
_cell_angle_beta 103.93
_cell_angle_gamma 90.00
_space_group_name_H-M_alt 'C 1 m 1'
_space_group_IT_number 8
_space_group_name_Hall 'C -2y'
loop_
_atom_site_label
_atom_site_type_symbol
_atom_site_fract_x
_atom_site_fract_y
_atom_site_fract_z
_atom_site_occupancy
K1 K 0.0000 0.0000 0.0000 1
P1 P 0.1017 0.5000 0.5904 1
P2 P 0.2409 0.5000 0.9282 1
Pb1 Pb 0.2515 0.0000 0.4776 1
# Energy   -4.011 eV/atom
# Formation energy   -105 meV per atom
# DOS(E_F)   2.614 states/eV/cell

Question: Which of these has the highest DOS(E_F)?
Answer: KP5Pb8

Question: Look up the formation energy of the fourth one.
Answer: 181 meV per atom

Question: Among the records above, which one has the lowest formation energy?
Answer: K4P4Pb